Entry 1:
The following is a DFT calculation (PBE) of a geometry-optimized Pm4HoEr2 structure.

Cell and atoms, written as CIF:
```
data_Pm4HoEr2
_chemical_formula_sum 'Pm16 Ho4 Er8'
_cell_length_a 6.838
_cell_length_b 11.366
_cell_length_c 12.115
_cell_angle_alpha 90.00
_cell_angle_beta 90.00
_cell_angle_gamma 90.00
_space_group_name_H-M_alt 'I m m a'
_space_group_IT_number 74
_space_group_name_Hall '-I 2b 2'
loop_
_atom_site_label
_atom_site_type_symbol
_atom_site_fract_x
_atom_site_fract_y
_atom_site_fract_z
Pm1 Pm 0.000 0.005 0.148
Pm2 Pm 0.220 0.250 0.990
Ho1 Ho 0.250 0.250 0.250
Er1 Er 0.000 0.000 0.500
Er2 Er 0.000 0.250 0.718
```

Properties
* total magnetic moment: 0.0 Bohr magnetons per cell
* formation energy from the elements: 0.26 eV/atom
* energy relative to the lowest polymorph listed for this composition: 202 meV/atom

Entry 2:
The following is a DFT calculation (PBE) of a geometry-optimized Rb12TlHg5 structure.

Cell and atoms, written as CIF:
```
data_Rb12TlHg5
_chemical_formula_sum 'Rb24 Tl2 Hg10'
_cell_length_a 12.164
_cell_length_b 12.267
_cell_length_c 13.409
_cell_angle_alpha 90.00
_cell_angle_beta 90.00
_cell_angle_gamma 90.00
_space_group_name_H-M_alt 'I m m m'
_space_group_IT_number 71
_space_group_name_Hall '-I 2 2'
loop_
_atom_site_label
_atom_site_type_symbol
_atom_site_fract_x
_atom_site_fract_y
_atom_site_fract_z
Rb1 Rb 0.000 0.193 0.241
Rb2 Rb 0.203 0.500 0.170
Rb3 Rb 0.222 0.316 0.500
Tl1 Tl 0.000 0.000 0.500
Hg1 Hg 0.000 0.000 0.000
Hg2 Hg 0.000 0.365 0.000
Hg3 Hg 0.000 0.500 0.385
```

Properties
* total magnetic moment: 0.0 Bohr magnetons per cell
* formation energy from the elements: -0.13 eV/atom

Entry 3:
The following is a DFT calculation (PBE) of a geometry-optimized LaHgPO2 structure.

Cell and atoms, written as CIF:
```
data_LaHgPO2
_chemical_formula_sum 'La1 Hg1 P1 O2'
_cell_length_a 4.356
_cell_length_b 4.356
_cell_length_c 4.855
_cell_angle_alpha 90.00
_cell_angle_beta 90.00
_cell_angle_gamma 90.00
_space_group_name_H-M_alt 'P 4/m m m'
_space_group_IT_number 123
_space_group_name_Hall '-P 4 2'
loop_
_atom_site_label
_atom_site_type_symbol
_atom_site_fract_x
_atom_site_fract_y
_atom_site_fract_z
La1 La 0.000 0.000 0.000
Hg1 Hg 0.500 0.500 0.500
P1 P 0.500 0.500 0.000
O1 O 0.000 0.500 0.500
```

Properties
* total magnetic moment: 0.0 Bohr magnetons per cell
* energy relative to the lowest polymorph listed for this composition: 225 meV/atom
* formation energy from raw total energies: -0.585 eV/atom

Entry 4:
The following is a DFT calculation (PBE) of a geometry-optimized Ho4S5I structure.

Cell and atoms, written as CIF:
```
data_Ho4S5I
_chemical_formula_sum 'Ho8 S10 I2'
_cell_length_a 8.176
_cell_length_b 10.442
_cell_length_c 6.699
_cell_angle_alpha 90.00
_cell_angle_beta 90.00
_cell_angle_gamma 90.00
_space_group_name_H-M_alt 'P m m n'
_space_group_IT_number 59
loop_
_space_group_symop_operation_xyz
'x,y,z'
'-x,-y,-z'
'-x+1/2,-y+1/2,z'
'x+1/2,y+1/2,-z'
'x+1/2,-y,-z'
'-x+1/2,y,z'
'-x,y+1/2,-z'
'x,-y+1/2,z'
loop_
_atom_site_label
_atom_site_type_symbol
_atom_site_fract_x
_atom_site_fract_y
_atom_site_fract_z
Ho1 Ho 0.029 0.250 0.017
Ho2 Ho 0.250 0.032 0.505
S1 S 0.008 0.559 0.744
S2 S 0.250 0.250 0.717
I1 I 0.250 0.750 0.300
```

Properties
* total magnetic moment: 2.0 Bohr magnetons per cell
* formation energy from raw total energies: -1.707 eV/atom

Entry 5:
The following is a DFT calculation (PBE) of a geometry-optimized KBe3Ru structure.

Cell and atoms, written as CIF:
```
data_KBe3Ru
_chemical_formula_sum 'K1 Be3 Ru1'
_cell_length_a 4.428
_cell_length_b 4.428
_cell_length_c 4.428
_cell_angle_alpha 90.00
_cell_angle_beta 90.00
_cell_angle_gamma 90.00
_space_group_name_H-M_alt 'P m -3 m'
_space_group_IT_number 221
_space_group_name_Hall '-P 4 2 3'
loop_
_atom_site_label
_atom_site_type_symbol
_atom_site_fract_x
_atom_site_fract_y
_atom_site_fract_z
K1 K 0.000 0.000 0.000
Be1 Be 0.000 0.500 0.500
Ru1 Ru 0.500 0.500 0.500
```

Properties
* total magnetic moment: 0.0 Bohr magnetons per cell
* formation energy from the elements: 0.53 eV/atom
* energy relative to the lowest polymorph listed for this composition: 0 meV/atom

Entry 6:
The following is a DFT calculation (PBE) of a geometry-optimized HfTi3Si structure.

Cell and atoms, written as CIF:
```
data_HfTi3Si
_chemical_formula_sum 'Hf1 Ti3 Si1'
_cell_length_a 4.771
_cell_length_b 4.771
_cell_length_c 4.771
_cell_angle_alpha 90.00
_cell_angle_beta 90.00
_cell_angle_gamma 90.00
_space_group_name_H-M_alt 'P m -3 m'
_space_group_IT_number 221
_space_group_name_Hall '-P 4 2 3'
loop_
_atom_site_label
_atom_site_type_symbol
_atom_site_fract_x
_atom_site_fract_y
_atom_site_fract_z
Hf1 Hf 0.000 0.000 0.000
Ti1 Ti 0.000 0.000 0.500
Si1 Si 0.500 0.500 0.500
```

Properties
* total magnetic moment: 1.3 Bohr magnetons per cell
* energy relative to the lowest polymorph listed for this composition: 1641 meV/atom
* formation energy from raw total energies: 1.309 eV/atom

Entry 7:
The following is a DFT calculation (PBE) of a geometry-optimized Sm5Dy3Ho structure.

Cell and atoms, written as CIF:
```
data_Sm5Dy3Ho
_chemical_formula_sum 'Sm20 Dy12 Ho4'
_cell_length_a 15.196
_cell_length_b 11.620
_cell_length_c 9.859
_cell_angle_alpha 90.00
_cell_angle_beta 129.69
_cell_angle_gamma 90.00
_space_group_name_H-M_alt 'C 1 2/m 1'
_space_group_IT_number 12
loop_
_space_group_symop_operation_xyz
'x,y,z'
'-x,-y,-z'
'-x,y,-z'
'x,-y,z'
'x+1/2,y+1/2,z'
'-x+1/2,-y+1/2,-z'
'-x+1/2,y+1/2,-z'
'x+1/2,-y+1/2,z'
loop_
_atom_site_label
_atom_site_type_symbol
_atom_site_fract_x
_atom_site_fract_y
_atom_site_fract_z
Sm1 Sm 0.000 0.246 0.000
Sm2 Sm 0.148 0.248 0.741
Sm3 Sm 0.225 0.500 0.046
Sm4 Sm 0.227 0.000 0.236
Dy1 Dy 0.000 0.000 0.500
Dy2 Dy 0.000 0.500 0.000
Dy3 Dy 0.008 0.000 0.823
Dy4 Dy 0.015 0.500 0.354
Ho1 Ho 0.249 0.000 0.594
```

Properties
* total magnetic moment: 0.0 Bohr magnetons per cell
* formation energy from the elements: 0.50 eV/atom
* energy relative to the lowest polymorph listed for this composition: 324 meV/atom

Entry 8:
The following is a DFT calculation (PBE) of a geometry-optimized Rb2PmCrSe4 structure.

Cell and atoms, written as CIF:
```
data_Rb2PmCrSe4
_chemical_formula_sum 'Rb2 Pm1 Cr1 Se4'
_cell_length_a 7.117
_cell_length_b 4.142
_cell_length_c 8.309
_cell_angle_alpha 90.00
_cell_angle_beta 106.94
_cell_angle_gamma 90.00
_space_group_name_H-M_alt 'P 1 2/m 1'
_space_group_IT_number 10
loop_
_space_group_symop_operation_xyz
'x,y,z'
'-x,-y,-z'
'-x,y,-z'
'x,-y,z'
loop_
_atom_site_label
_atom_site_type_symbol
_atom_site_fract_x
_atom_site_fract_y
_atom_site_fract_z
Rb1 Rb 0.000 0.000 0.000
Rb2 Rb 0.500 0.500 0.000
Pm1 Pm 0.000 0.500 0.500
Cr1 Cr 0.500 0.000 0.500
Se1 Se 0.260 0.000 0.693
Se2 Se 0.302 0.500 0.322
```

Properties
* total magnetic moment: 3.0 Bohr magnetons per cell
* formation energy from raw total energies: -1.186 eV/atom

Entry 9:
The following is a DFT calculation (PBE) of a geometry-optimized Zn4Pd5Pt2 structure.

Cell and atoms, written as CIF:
```
data_Zn4Pd5Pt2
_chemical_formula_sum 'Zn8 Pd10 Pt4'
_cell_length_a 2.773
_cell_length_b 7.344
_cell_length_c 17.328
_cell_angle_alpha 90.00
_cell_angle_beta 90.00
_cell_angle_gamma 90.00
_space_group_name_H-M_alt 'I m m m'
_space_group_IT_number 71
_space_group_name_Hall '-I 2 2'
loop_
_atom_site_label
_atom_site_type_symbol
_atom_site_fract_x
_atom_site_fract_y
_atom_site_fract_z
Zn1 Zn 0.000 0.000 0.233
Zn2 Zn 0.000 0.289 0.500
Pd1 Pd 0.000 0.191 0.353
Pd2 Pd 0.000 0.500 0.000
Pt1 Pt 0.000 0.000 0.091
```

Properties
* total magnetic moment: 0.0 Bohr magnetons per cell
* formation energy from the elements: -0.22 eV/atom
* energy relative to the lowest polymorph listed for this composition: 196 meV/atom

Entry 10:
The following is a DFT calculation (PBE) of a geometry-optimized BiBP2S structure.

Cell and atoms, written as CIF:
```
data_BiBP2S
_chemical_formula_sum 'Bi1 B1 P2 S1'
_cell_length_a 5.328
_cell_length_b 5.328
_cell_length_c 5.279
_cell_angle_alpha 90.00
_cell_angle_beta 90.00
_cell_angle_gamma 90.00
_space_group_name_H-M_alt 'P 4/m m m'
_space_group_IT_number 123
_space_group_name_Hall '-P 4 2'
loop_
_atom_site_label
_atom_site_type_symbol
_atom_site_fract_x
_atom_site_fract_y
_atom_site_fract_z
Bi1 Bi 0.000 0.000 0.000
B1 B 0.500 0.500 0.500
P1 P 0.000 0.500 0.000
S1 S 0.000 0.000 0.500
```

Properties
* total magnetic moment: 2.0 Bohr magnetons per cell
* energy relative to the lowest polymorph listed for this composition: 1350 meV/atom
* formation energy from raw total energies: 2.022 eV/atom